[1]
This record from the Alexandria database describes a geometry-optimized Y5Hg2Bi2 structure. The functional is PBE-GGA.

Unit cell a=15.8522 b=8.1767 c=8.0869 alpha=90.00 beta=90.00 gamma=90.00
Space group Cmce (No. 64)
Asymmetric unit:
Y 0.0000 0.0000 0.0000
Y 0.1315 0.1676 0.3356
Hg 0.0000 0.1339 0.6314
Bi 0.2062 0.0000 0.0000

Results
The calculation puts the calculated formation energy at -0.64 eV per atom.



[2]
This record from the Alexandria database describes a geometry-optimized Nd2CdPb3 structure. The functional is PBE-GGA.

Unit cell a=3.6074 b=5.8466 c=17.9544 alpha=90.00 beta=90.00 gamma=90.00
Space group Immm (No. 71)
Asymmetric unit:
Nd 0.0000 0.0000 0.1552
Cd 0.0000 0.0000 0.5000
Pb 0.0000 0.0000 0.3343
Pb 0.0000 0.5000 0.5000

Results
As for the excess energy over the best structure of this formula in the dataset: 253.8 meV per atom. The calculation puts the calculated formation energy at -0.21 eV per atom.



[3]
This record from the Alexandria database describes a geometry-optimized RbBaGa structure. The functional is PBE-GGA.

Unit cell a=4.3384 b=33.5797 c=4.5324 alpha=90.00 beta=90.00 gamma=90.00
Space group Cmcm (No. 63)
Asymmetric unit:
Rb 0.0000 0.1889 0.2500
Ba 0.0000 0.0638 0.7500
Ga 0.0000 0.4802 0.7500

Results
As for the excess energy over the best structure of this formula in the dataset: 54.0 meV per atom. The calculation puts the calculated formation energy at -0.18 eV per atom.



[4]
This record from the Alexandria database describes a geometry-optimized BaHOs2 structure. The functional is PBE-GGA.

Unit cell a=8.2059 b=8.2059 c=8.2059 alpha=90.00 beta=90.00 gamma=90.00
Space group Fd-3m (No. 227, origin choice 2)
Asymmetric unit:
Ba 0.1250 0.1250 0.1250
H 0.1250 0.1250 0.6250
Os 0.0000 0.0000 0.5000

Results
As for the excess energy over the best structure of this formula in the dataset: 0.0 meV per atom.